LiFePO4: optimized geometry, GGA+U.

Results
Its symmetry is P2_1/c. As for the polymorph energy (0 for the lowest one): 0.011 eV per atom.

Cell lengths 5.109, 10.233, 8.560 Å; angles 90.00, 126.31, 90.00 degrees
Positions (direct):
1 Li 0.210 0.155 0.003
2 Li 0.210 0.345 0.503
3 Li 0.790 0.655 0.497
4 Li 0.790 0.845 0.997
5 Fe 0.289 0.653 0.997
6 Fe 0.289 0.847 0.497
7 Fe 0.711 0.153 0.503
8 Fe 0.711 0.347 0.003
9 P 0.047 0.596 0.250
10 P 0.047 0.904 0.750
11 P 0.953 0.096 0.250
12 P 0.953 0.404 0.750
13 O 0.002 0.553 0.745
14 O 0.002 0.947 0.245
15 O 0.101 0.661 0.431
16 O 0.101 0.839 0.931
17 O 0.256 0.156 0.440
18 O 0.256 0.344 0.940
19 O 0.349 0.625 0.252
20 O 0.349 0.875 0.752
21 O 0.651 0.125 0.248
22 O 0.651 0.375 0.748
23 O 0.744 0.656 0.060
24 O 0.744 0.844 0.560
25 O 0.899 0.161 0.069
26 O 0.899 0.339 0.569
27 O 0.998 0.053 0.755
28 O 0.998 0.447 0.255